[1]
{
  "formula": "Ti2CuNi7Sn2",
  "functional": "PBE",
  "state": "relaxed",
  "delta_e_f_ev_per_atom": -0.048,
  "cell": [[-1.701, 1.701, 14.780], [1.701, -1.701, 14.780], [1.701, 1.701, -14.780]],
  "species": ["Ti", "Ti", "Cu", "Ni", "Ni", "Ni", "Ni", "Ni", "Ni", "Ni", "Sn", "Sn"],
  "frac_coords": [[0.124, 0.124, 0.000], [0.876, 0.876, 0.000], [0.500, 0.500, 0.000], [0.000, 0.000, 0.000], [0.064, 0.564, 0.500], [0.226, 0.226, 0.000], [0.436, 0.936, 0.500], [0.564, 0.064, 0.500], [0.774, 0.774, 0.000], [0.936, 0.436, 0.500], [0.314, 0.314, 0.000], [0.686, 0.686, 0.000]]
}

=====

[2]
{
  "formula": "Cr2CuIr",
  "functional": "PBE",
  "state": "relaxed",
  "delta_e_f_ev_per_atom": 0.663,
  "cell": [[6.742, 0.000, 0.000], [0.000, 6.742, 0.000], [0.000, 0.000, 4.952]],
  "species": ["Cr", "Cr", "Cr", "Cr", "Cr", "Cr", "Cr", "Cr", "Cu", "Cu", "Cu", "Cu", "Ir", "Ir", "Ir", "Ir"],
  "frac_coords": [[0.227, 0.250, 0.125], [0.250, 0.727, 0.375], [0.250, 0.773, 0.875], [0.273, 0.250, 0.625], [0.727, 0.750, 0.625], [0.750, 0.227, 0.875], [0.750, 0.273, 0.375], [0.773, 0.750, 0.125], [0.000, 0.000, 0.500], [0.000, 0.500, 0.750], [0.500, 0.000, 0.250], [0.500, 0.500, 0.000], [0.000, 0.000, 0.000], [0.000, 0.500, 0.250], [0.500, 0.000, 0.750], [0.500, 0.500, 0.500]]
}

=====

[3]
{
  "formula": "NdNpSe2O",
  "functional": "PBE",
  "state": "relaxed",
  "raw_formation_energy_ev_per_atom": -2.082,
  "cell": [[4.048, 0.000, 0.000], [0.000, 4.048, 0.000], [0.000, 0.000, 14.656]],
  "species": ["Nd", "Nd", "Np", "Np", "Se", "Se", "Se", "Se", "O", "O"],
  "frac_coords": [[0.250, 0.250, 0.127], [0.750, 0.750, 0.873], [0.250, 0.250, 0.579], [0.750, 0.750, 0.421], [0.250, 0.250, 0.321], [0.250, 0.250, 0.909], [0.750, 0.750, 0.091], [0.750, 0.750, 0.679], [0.250, 0.750, 0.500], [0.750, 0.250, 0.500]]
}

=====

[4]
{
  "formula": "RbMgPb",
  "functional": "PBE",
  "state": "relaxed",
  "delta_e_f_ev_per_atom": -0.006,
  "e_above_lowest_polymorph_ev_per_atom": 0.1246,
  "cell": [[5.408, 0.000, 0.000], [-2.704, 4.683, 0.000], [0.000, 0.000, 4.347]],
  "species": ["Rb", "Mg", "Pb"],
  "frac_coords": [[0.000, 0.000, 0.000], [0.667, 0.333, 0.498], [0.333, 0.667, 0.500]]
}

=====

[5]
{
  "formula": "PmPd2Au6",
  "functional": "PBE",
  "state": "relaxed",
  "delta_e_f_ev_per_atom": -0.339,
  "e_above_lowest_polymorph_ev_per_atom": 0.0000,
  "cell": [[6.348, -2.080, 0.000], [6.348, 2.080, 0.000], [-2.121, 0.000, 6.353]],
  "species": ["Pm", "Pd", "Pd", "Au", "Au", "Au", "Au", "Au", "Au"],
  "frac_coords": [[0.000, 0.000, 0.000], [0.449, 0.449, 0.668], [0.551, 0.551, 0.332], [0.109, 0.109, 0.657], [0.228, 0.228, 0.341], [0.327, 0.327, 0.989], [0.673, 0.673, 0.011], [0.772, 0.772, 0.659], [0.891, 0.891, 0.343]]
}

=====

[6]
{
  "formula": "YTa2Si2",
  "functional": "PBE",
  "state": "relaxed",
  "raw_formation_energy_ev_per_atom": -0.447,
  "cell": [[7.145, 0.000, 0.000], [0.000, 7.145, 0.000], [0.000, 0.000, 3.464]],
  "species": ["Y", "Y", "Ta", "Ta", "Ta", "Ta", "Si", "Si", "Si", "Si"],
  "frac_coords": [[0.000, 0.000, 0.000], [0.500, 0.500, 0.000], [0.166, 0.334, 0.500], [0.334, 0.834, 0.500], [0.666, 0.166, 0.500], [0.834, 0.666, 0.500], [0.123, 0.623, 0.000], [0.377, 0.123, 0.000], [0.623, 0.877, 0.000], [0.877, 0.377, 0.000]]
}

=====

[7]
{
  "formula": "ErU5N6",
  "functional": "PBE",
  "state": "relaxed",
  "raw_formation_energy_ev_per_atom": -1.374,
  "cell": [[2.973, -5.146, 0.000], [2.973, 5.146, 0.000], [-1.989, 0.000, 5.618]],
  "species": ["Er", "U", "U", "U", "U", "U", "N", "N", "N", "N", "N", "N"],
  "frac_coords": [[0.000, 0.000, 0.000], [0.165, 0.835, 0.500], [0.334, 0.666, 0.000], [0.500, 0.500, 0.500], [0.666, 0.334, 0.000], [0.835, 0.165, 0.500], [0.083, 0.417, 0.248], [0.251, 0.251, 0.752], [0.417, 0.083, 0.248], [0.583, 0.917, 0.752], [0.749, 0.749, 0.248], [0.917, 0.583, 0.752]]
}

=====

[8]
{
  "formula": "Fe5CoH6",
  "functional": "PBE",
  "state": "relaxed",
  "dft_energy_ev_per_atom": -5.803,
  "cell": [[2.289, -3.980, 0.000], [2.289, 3.980, 0.000], [-1.544, 0.000, 4.325]],
  "species": ["Fe", "Fe", "Fe", "Fe", "Fe", "Co", "H", "H", "H", "H", "H", "H"],
  "frac_coords": [[0.000, 0.000, 0.000], [0.167, 0.833, 0.500], [0.333, 0.667, 0.000], [0.667, 0.333, 0.000], [0.833, 0.167, 0.500], [0.500, 0.500, 0.500], [0.089, 0.418, 0.255], [0.251, 0.251, 0.745], [0.418, 0.089, 0.255], [0.582, 0.911, 0.745], [0.749, 0.749, 0.255], [0.911, 0.582, 0.745]]
}

=====

[9]
{
  "formula": "TaTlMo2",
  "functional": "PBE",
  "state": "relaxed",
  "delta_e_f_ev_per_atom": 0.403,
  "e_above_lowest_polymorph_ev_per_atom": 0.0628,
  "cell": [[2.903, 0.000, 0.000], [0.000, 4.411, 0.000], [-0.967, 0.000, 5.700]],
  "species": ["Ta", "Tl", "Mo", "Mo"],
  "frac_coords": [[0.000, 0.000, 0.000], [0.577, 0.500, 0.283], [0.131, 0.000, 0.564], [0.540, 0.500, 0.775]]
}

=====

[10]
{
  "formula": "Co",
  "functional": "PBE",
  "state": "relaxed",
  "delta_e_f_ev_per_atom": 0.655,
  "e_above_lowest_polymorph_ev_per_atom": 0.6554,
  "cell": [[4.654, 0.000, 0.000], [0.000, 4.654, 0.000], [0.000, 0.000, 2.297]],
  "species": ["Co", "Co", "Co", "Co"],
  "frac_coords": [[0.185, 0.315, 0.000], [0.315, 0.815, 0.000], [0.685, 0.185, 0.000], [0.815, 0.685, 0.000]]
}

=====

[11]
{
  "formula": "As3Rh",
  "functional": "PBE",
  "state": "relaxed",
  "delta_e_f_ev_per_atom": -0.080,
  "e_above_lowest_polymorph_ev_per_atom": 0.3623,
  "cell": [[5.069, 0.000, 0.000], [0.000, 8.069, 0.000], [0.000, 0.000, 3.561]],
  "species": ["As", "As", "As", "As", "As", "As", "Rh", "Rh"],
  "frac_coords": [[0.000, 0.000, 0.000], [0.000, 0.280, 0.500], [0.000, 0.720, 0.500], [0.500, 0.220, 0.500], [0.500, 0.500, 0.000], [0.500, 0.780, 0.500], [0.000, 0.500, 0.000], [0.500, 0.000, 0.000]]
}

=====

[12]
{
  "formula": "Tb5Ir2Au",
  "functional": "PBE",
  "state": "relaxed",
  "delta_e_f_ev_per_atom": -0.760,
  "cell": [[-3.853, 3.853, 6.696], [3.853, -3.853, 6.696], [3.853, 3.853, -6.696]],
  "species": ["Tb", "Tb", "Tb", "Tb", "Tb", "Tb", "Tb", "Tb", "Tb", "Tb", "Ir", "Ir", "Ir", "Ir", "Au", "Au"],
  "frac_coords": [[0.000, 0.000, 0.000], [0.026, 0.526, 0.825], [0.200, 0.026, 0.500], [0.300, 0.800, 0.825], [0.474, 0.300, 0.500], [0.500, 0.500, 0.000], [0.526, 0.700, 0.500], [0.700, 0.200, 0.175], [0.800, 0.974, 0.500], [0.974, 0.474, 0.175], [0.138, 0.362, 0.500], [0.362, 0.862, 0.225], [0.638, 0.138, 0.775], [0.862, 0.638, 0.500], [0.250, 0.250, 0.000], [0.750, 0.750, 0.000]]
}

=====

[13]
{
  "formula": "TcHgCl2",
  "functional": "PBE",
  "state": "relaxed",
  "raw_formation_energy_ev_per_atom": -0.146,
  "e_above_lowest_polymorph_ev_per_atom": 0.0000,
  "cell": [[10.834, 0.000, 0.000], [0.000, 3.055, 0.000], [-2.875, 0.000, 6.344]],
  "species": ["Tc", "Tc", "Hg", "Hg", "Cl", "Cl", "Cl", "Cl"],
  "frac_coords": [[0.000, 0.000, 0.000], [0.500, 0.500, 0.000], [0.240, 0.500, 0.000], [0.740, 0.000, 0.000], [0.066, 0.500, 0.293], [0.411, 0.000, 0.707], [0.566, 0.000, 0.293], [0.911, 0.500, 0.707]]
}

=====

[14]
{
  "formula": "V3TcPb",
  "functional": "PBE",
  "state": "relaxed",
  "delta_e_f_ev_per_atom": 0.926,
  "e_above_lowest_polymorph_ev_per_atom": 0.0000,
  "cell": [[4.599, 0.000, 0.000], [0.000, 4.599, 0.000], [0.000, 0.000, 4.599]],
  "species": ["V", "V", "V", "Tc", "Pb"],
  "frac_coords": [[0.000, 0.000, 0.500], [0.000, 0.500, 0.000], [0.500, 0.000, 0.000], [0.000, 0.000, 0.000], [0.500, 0.500, 0.500]]
}

=====

[15]
{
  "formula": "LaPb2Br",
  "functional": "PBE",
  "state": "relaxed",
  "raw_formation_energy_ev_per_atom": -0.628,
  "e_above_lowest_polymorph_ev_per_atom": 0.1673,
  "cell": [[4.428, 0.000, 0.000], [0.000, 4.428, 0.000], [0.000, 0.000, 6.204]],
  "species": ["La", "Pb", "Pb", "Br"],
  "frac_coords": [[0.000, 0.000, 0.000], [0.000, 0.500, 0.500], [0.500, 0.000, 0.500], [0.500, 0.500, 0.000]]
}

=====

[16]
{
  "formula": "BaNaCd2Cu",
  "functional": "PBE",
  "state": "relaxed",
  "delta_e_f_ev_per_atom": 0.020,
  "e_above_lowest_polymorph_ev_per_atom": 0.0615,
  "cell": [[5.280, 0.000, 0.000], [0.000, 5.280, 0.000], [0.000, 0.000, 5.757]],
  "species": ["Ba", "Na", "Cd", "Cd", "Cu"],
  "frac_coords": [[0.000, 0.000, 0.000], [0.500, 0.500, 0.000], [0.000, 0.500, 0.500], [0.500, 0.000, 0.500], [0.000, 0.000, 0.500]]
}

=====

[17]
{
  "formula": "LaTbPb2",
  "functional": "PBE",
  "state": "relaxed",
  "delta_e_f_ev_per_atom": -0.516,
  "cell": [[3.614, 0.000, 0.000], [0.000, 3.614, 0.000], [0.000, 0.000, 9.156]],
  "species": ["La", "Tb", "Pb", "Pb"],
  "frac_coords": [[0.000, 0.000, 0.000], [0.000, 0.000, 0.500], [0.500, 0.500, 0.261], [0.500, 0.500, 0.739]]
}

=====

[18]
{
  "formula": "CsK2AlBi2",
  "functional": "PBE",
  "state": "relaxed",
  "delta_e_f_ev_per_atom": -0.205,
  "cell": [[5.253, 0.000, 0.000], [0.000, 9.818, 0.000], [0.000, 0.000, 9.237]],
  "species": ["Cs", "Cs", "K", "K", "K", "K", "Al", "Al", "Bi", "Bi", "Bi", "Bi"],
  "frac_coords": [[0.000, 0.081, 0.000], [0.000, 0.919, 0.500], [0.000, 0.333, 0.316], [0.000, 0.667, 0.816], [0.500, 0.422, 0.979], [0.500, 0.578, 0.479], [0.500, 0.160, 0.628], [0.500, 0.840, 0.128], [0.000, 0.322, 0.684], [0.000, 0.678, 0.184], [0.500, 0.104, 0.301], [0.500, 0.896, 0.801]]
}

=====

[19]
{
  "formula": "PrPaCdO6",
  "functional": "PBE",
  "state": "relaxed",
  "raw_formation_energy_ev_per_atom": -2.282,
  "cell": [[5.791, 0.000, 0.000], [-2.895, 5.015, 0.000], [0.000, 0.000, 4.897]],
  "species": ["Pr", "Pa", "Cd", "O", "O", "O", "O", "O", "O"],
  "frac_coords": [[0.000, 0.000, 0.000], [0.667, 0.333, 0.500], [0.333, 0.667, 0.000], [0.364, 0.019, 0.252], [0.364, 0.345, 0.748], [0.655, 0.019, 0.748], [0.655, 0.636, 0.252], [0.981, 0.345, 0.252], [0.981, 0.636, 0.748]]
}

=====

[20]
{
  "formula": "Na4TmZr3Se8",
  "functional": "PBE",
  "state": "relaxed",
  "raw_formation_energy_ev_per_atom": -1.388,
  "cell": [[3.904, 2.254, 7.148], [-3.904, 2.254, 7.148], [0.000, -4.508, 7.148]],
  "species": ["Na", "Na", "Na", "Na", "Tm", "Zr", "Zr", "Zr", "Se", "Se", "Se", "Se", "Se", "Se", "Se", "Se"],
  "frac_coords": [[0.000, 0.000, 0.000], [0.000, 0.500, 0.500], [0.500, 0.000, 0.500], [0.500, 0.500, 0.000], [0.500, 0.500, 0.500], [0.000, 0.000, 0.500], [0.000, 0.500, 0.000], [0.500, 0.000, 0.000], [0.237, 0.745, 0.745], [0.242, 0.242, 0.242], [0.255, 0.255, 0.763], [0.255, 0.763, 0.255], [0.745, 0.237, 0.745], [0.745, 0.745, 0.237], [0.758, 0.758, 0.758], [0.763, 0.255, 0.255]]
}

=====

[21]
{
  "formula": "ZrSb2IrN",
  "functional": "PBE",
  "state": "relaxed",
  "raw_formation_energy_ev_per_atom": 1.357,
  "cell": [[4.996, 0.000, 0.000], [0.000, 4.996, 0.000], [0.000, 0.000, 5.189]],
  "species": ["Zr", "Sb", "Sb", "Ir", "N"],
  "frac_coords": [[0.000, 0.000, 0.000], [0.000, 0.500, 0.500], [0.500, 0.000, 0.500], [0.000, 0.000, 0.500], [0.500, 0.500, 0.000]]
}

=====

[22]
{
  "formula": "PmNd5Dy3",
  "functional": "PBE",
  "state": "relaxed",
  "delta_e_f_ev_per_atom": 0.411,
  "e_above_lowest_polymorph_ev_per_atom": 0.1355,
  "cell": [[8.645, -4.015, 0.000], [8.645, 4.015, 0.000], [-7.973, 0.000, 9.527]],
  "species": ["Pm", "Pm", "Nd", "Nd", "Nd", "Nd", "Nd", "Nd", "Nd", "Nd", "Nd", "Nd", "Dy", "Dy", "Dy", "Dy", "Dy", "Dy"],
  "frac_coords": [[0.126, 0.126, 0.332], [0.874, 0.874, 0.668], [0.219, 0.648, 0.212], [0.258, 0.258, 0.861], [0.328, 0.672, 0.000], [0.352, 0.781, 0.788], [0.379, 0.379, 0.441], [0.621, 0.621, 0.559], [0.648, 0.219, 0.212], [0.672, 0.328, 0.000], [0.742, 0.742, 0.139], [0.781, 0.352, 0.788], [0.000, 0.000, 0.000], [0.000, 0.000, 0.500], [0.209, 0.209, 0.086], [0.331, 0.331, 0.665], [0.669, 0.669, 0.335], [0.791, 0.791, 0.914]]
}

=====

Number 1: DOS(E_F) 0.812 states/eV per atom. Number 2: DOS(E_F) 1.178 states/eV per atom. Number 3: DOS(E_F) 1.055 states/eV per atom. Number 4: DOS(E_F) 0.477 states/eV per atom. Number 5: DOS(E_F) 0.317 states/eV per atom. Number 6: DOS(E_F) 0.531 states/eV per atom. Number 7: DOS(E_F) 1.835 states/eV per atom. Number 8: DOS(E_F) 0.550 states/eV per atom. Number 9: DOS(E_F) 0.660 states/eV per atom. Number 10: DOS(E_F) 1.479 states/eV per atom. Number 11: DOS(E_F) 0.369 states/eV per atom. Number 12: DOS(E_F) 0.935 states/eV per atom. Number 13: DOS(E_F) 0.349 states/eV per atom. Number 14: DOS(E_F) 1.095 states/eV per atom. Number 15: DOS(E_F) 1.021 states/eV per atom. Number 16: DOS(E_F) 0.552 states/eV per atom. Number 17: DOS(E_F) 0.922 states/eV per atom. Number 18: DOS(E_F) 0.233 states/eV per atom. Number 19: DOS(E_F) 1.169 states/eV per atom. Number 20: DOS(E_F) 0.473 states/eV per atom. Number 21: DOS(E_F) 0.887 states/eV per atom. Number 22: DOS(E_F) 1.653 states/eV per atom.